NaMnCr2Co after structural relaxation, computed with PBE.

Values from the calculation:
**Energy of formation**: 1002 meV/atom
**Symmetry**: P4/mmm, No. 123

abc: 4.4135 4.5453 4.4135
angles: 90.00 90.00 90.00
Last column: nearest neighbours and their distance in Å.
Positions (direct):
Co  0.0000  0.5000  0.0000  2 Mn 2.27
Mn  0.0000  0.0000  0.0000  4 Cr 2.21, 2 Co 2.27
Cr  0.0000  0.0000  0.5000  2 Mn 2.21
Cr  0.5000  0.0000  0.0000  2 Mn 2.21
Na  0.5000  0.5000  0.5000  4 Co 3.12, 8 Cr 3.17